w) VASP calculation (PBE) on a geometry-optimized Li4Os5 structure.

Computed properties:
M_tot, μB/f.u.: 0.00

a b c (Å): 7.805 7.805 5.071
angles (deg): 90.00 90.00 120.00
Element x y z (fractional)
Li (0.738, 0.000, 0.250)
Li (0.738, 0.738, 0.750)
Li (0.262, 0.262, 0.250)
Li (0.262, 0.000, 0.750)
Li (0.000, 0.000, 0.500)
Li (0.000, 0.000, 0.000)
Li (0.000, 0.262, 0.750)
Li (0.000, 0.738, 0.250)
Os (0.000, 0.434, 0.250)
Os (0.333, 0.667, 0.000)
Os (0.667, 0.333, 0.000)
Os (0.333, 0.667, 0.500)
Os (0.566, 0.566, 0.250)
Os (0.434, 0.434, 0.750)
Os (0.434, 0.000, 0.250)
Os (0.566, 0.000, 0.750)
Os (0.667, 0.333, 0.500)
Os (0.000, 0.566, 0.750)

x) VASP calculation (PBE) on a geometry-optimized Li4Os5 structure.

Computed properties:
M_tot, μB/f.u.: 0.17

a b c (Å): 6.845 6.845 6.845
angles (deg): 92.39 92.39 156.45
Element x y z (fractional)
Os (0.330, 0.330, 0.661)
Os (0.330, 0.670, 0.000)
Os (0.670, 0.330, 0.000)
Os (0.000, 0.000, 0.000)
Os (0.670, 0.670, 0.339)
Li (0.000, 0.327, 0.327)
Li (0.000, 0.673, 0.673)
Li (0.673, 0.000, 0.673)
Li (0.327, 0.000, 0.327)

Top of the stability list: x), leading by 175 meV/atom.

w) VASP calculation (PBE) on a geometry-optimized LiOs5 structure.

Computed properties:
M_tot, μB/f.u.: 0.00

a b c (Å): 7.161 7.161 4.341
angles (deg): 90.00 90.00 157.89
Element x y z (fractional)
Os (0.447, 0.553, 0.500)
Os (0.333, 0.667, 0.000)
Os (0.107, 0.893, 0.500)
Os (0.780, 0.220, 0.500)
Os (0.669, 0.331, 0.000)
Li (0.997, 0.003, 0.000)

x) VASP calculation (PBE) on a geometry-optimized LiOs5 structure.

Computed properties:
M_tot, μB/f.u.: 0.00

a b c (Å): 5.144 5.144 6.419
angles (deg): 76.06 76.06 30.93
Element x y z (fractional)
Os (0.618, 0.618, 0.278)
Os (0.671, 0.671, 0.662)
Os (0.336, 0.336, 0.337)
Os (0.269, 0.269, 0.937)
Os (0.946, 0.946, 0.616)
Li (0.994, 0.994, 0.003)

Top of the stability list: w), leading by 17 meV/atom.

w) VASP calculation (PBE) on a geometry-optimized LiOs5 structure.

Computed properties:
M_tot, μB/f.u.: 0.00

a b c (Å): 4.697 4.697 4.346
angles (deg): 90.00 90.00 120.00
Element x y z (fractional)
Os (0.320, 0.320, 0.000)
Os (0.000, 0.680, 0.000)
Os (0.680, 0.000, 0.000)
Os (0.333, 0.667, 0.500)
Os (0.667, 0.333, 0.500)
Li (0.000, 0.000, 0.500)

x) VASP calculation (PBE) on a geometry-optimized LiOs5 structure.

Computed properties:
M_tot, μB/f.u.: 0.00

a b c (Å): 2.783 2.783 10.601
angles (deg): 90.00 90.00 90.00
Element x y z (fractional)
Os (0.000, 0.000, 0.152)
Os (0.500, 0.500, 0.316)
Os (0.000, 0.000, 0.500)
Os (0.000, 0.000, 0.848)
Os (0.500, 0.500, 0.684)
Li (0.500, 0.500, 0.000)

Top of the stability list: w), leading by 101 meV/atom.

w) VASP calculation (PBE) on a geometry-optimized LiPOsS2 structure.

Computed properties:
M_tot, μB/f.u.: 1.20

a b c (Å): 4.849 4.849 4.464
angles (deg): 90.00 90.00 90.00
Site moments in Bohr magnetons follow the coordinates.
Element x y z (fractional)
Os (0.000, 0.000, 0.000)  0.70
S (0.000, 0.500, 0.000)  0.14
S (0.500, 0.000, 0.000)  0.14
P (0.000, 0.000, 0.500)  -0.01
Li (0.500, 0.500, 0.500)  0.00

x) VASP calculation (PBE) on a geometry-optimized LiPOsS2 structure.

Computed properties:
M_tot, μB/f.u.: 0.00

a b c (Å): 4.239 4.239 4.098
angles (deg): 90.00 90.00 90.00
Element x y z (fractional)
Os (0.500, 0.500, 0.500)
S (0.500, 0.000, 0.000)
S (0.000, 0.500, 0.000)
P (0.000, 0.000, 0.500)
Li (0.000, 0.000, 0.000)

Top of the stability list: w), leading by 896 meV/atom.